[1]
# ZrI3

A relaxed ZrI3 crystal (PBE, OQMD via LeMat-Bulk).

Cell and atoms, written as POSCAR:
```
ZrI3
1.0
6.572 0.000 0.000
0.000 6.725 3.846
0.000 -6.725 3.846
I Zr
6 2
direct
0.000 0.314 0.003
0.000 0.003 0.314
0.500 0.315 0.315
0.500 0.997 0.686
0.000 0.686 0.686
0.500 0.686 0.997
0.251 0.000 0.000
0.749 0.000 0.000
```

Calculated values
The calculation puts the density at 4.6 g/cm³. The energy comes out at -4.239 eV per atom.

[2]
# GdScPt

A relaxed GdScPt crystal (PBE, OQMD via LeMat-Bulk).

Cell and atoms, written as POSCAR:
```
GdScPt
1.0
0.000 3.293 3.293
3.293 0.000 3.293
3.293 3.293 0.000
Gd Pt Sc
1 1 1
direct
0.000 0.000 0.000
0.250 0.250 0.250
0.750 0.750 0.750
```

Calculated values
The calculation puts the density at 9.2 g/cm³. As for the formation energy: -0.053 eV per atom.